Record 1
Density functional theory data (PBE) for a geometry-optimized BeMoP2 structure.

a b c (Å): 4.879 4.879 4.879
angles (deg): 137.80 137.80 61.21
Element x y z (fractional)
Be  0.000  0.000  0.000
Mo  0.250  0.750  0.500
P  0.500  0.500  0.000
P  0.750  0.250  0.500

Summary:
Magnetic moment (μB/f.u.): 0.000
Space group: I-4m2
Formation energy (meV per atom): 217.3

Record 2
Density functional theory data (PBE) for a geometry-optimized BeMoP2 structure.

a b c (Å): 6.476 6.476 6.476
angles (deg): 28.45 28.45 28.45
Element x y z (fractional)
Be  0.000  0.000  0.000
Mo  0.500  0.500  0.500
P  0.257  0.257  0.257
P  0.743  0.743  0.743

Summary:
Magnetic moment (μB/f.u.): 0.000
Space group: R-3m
Formation energy (meV per atom): -123.2

Record 3
Density functional theory data (PBE) for a geometry-optimized BeMoP2 structure.

a b c (Å): 4.339 4.339 4.339
angles (deg): 126.10 126.10 79.73
Element x y z (fractional)
Be  0.000  0.000  0.000
Mo  0.500  0.500  0.000
P  0.250  0.750  0.500
P  0.750  0.250  0.500

Summary:
Magnetic moment (μB/f.u.): 0.345
Space group: I4/mmm
Formation energy (meV per atom): 198.0

Record 4
Density functional theory data (PBE) for a geometry-optimized BeMoP2 structure.

a b c (Å): 6.271 6.271 6.271
angles (deg): 129.47 129.47 74.26
Element x y z (fractional)
Be  0.000  0.000  0.000
Be  0.750  0.250  0.500
Mo  0.250  0.750  0.500
Mo  0.500  0.500  0.000
P  0.097  0.625  0.972
P  0.375  0.347  0.472
P  0.653  0.125  0.028
P  0.875  0.903  0.528

Summary:
Magnetic moment (μB/f.u.): 1.041
Space group: I-42d
Formation energy (meV per atom): 115.7

Record 5
Density functional theory data (PBE) for a geometry-optimized BeMo2P structure.

a b c (Å): 3.111 3.111 5.393
angles (deg): 90.00 90.00 90.00
Element x y z (fractional)
Be  0.000  0.000  0.000
Mo  0.000  0.000  0.521
Mo  0.500  0.500  0.221
P  0.500  0.500  0.763

Summary:
Magnetic moment (μB/f.u.): 0.000
Space group: P4mm
Formation energy (meV per atom): -177.8
Relative energy among the computed polymorphs (eV per atom): 0.163

Record 6
Density functional theory data (PBE) for a geometry-optimized BeMoP2 structure.

a b c (Å): 4.469 4.469 4.469
angles (deg): 137.79 121.23 74.98
Element x y z (fractional)
Be  0.000  0.000  0.000
Mo  0.500  0.500  0.000
P  0.213  0.713  0.500
P  0.787  0.287  0.500

Summary:
Magnetic moment (μB/f.u.): 0.000
Space group: Immm
Formation energy (meV per atom): -94.5

Record 7
Density functional theory data (PBE) for a geometry-optimized BeMo2P structure.

a b c (Å): 2.758 2.758 7.663
angles (deg): 90.00 90.00 109.25
Element x y z (fractional)
Be  0.000  0.000  0.000
Mo  0.000  0.000  0.467
Mo  0.500  0.500  0.753
P  0.500  0.500  0.211

Summary:
Magnetic moment (μB/f.u.): 0.000
Space group: Cmm2
Formation energy (meV per atom): 257.0
Relative energy among the computed polymorphs (eV per atom): 0.598

Record 8
Density functional theory data (PBE) for a geometry-optimized BeMoP2 structure.

a b c (Å): 4.631 4.631 4.631
angles (deg): 140.25 127.34 67.95
Element x y z (fractional)
Be  0.000  0.000  0.000
Mo  0.267  0.767  0.500
P  0.544  0.544  0.000
P  0.802  0.302  0.500

Summary:
Magnetic moment (μB/f.u.): 0.000
Space group: Imm2
Formation energy (meV per atom): 44.3